1.
# Ho3Se2O2, optimized geometry, DFT GGA-PBE
# **V**: 139.53 Å³ per cell
data_Ho3Se2O2
_cell_length_a 3.567
_cell_length_b 5.980
_cell_length_c 6.928
_cell_angle_alpha 98.12
_cell_angle_beta 90.02
_cell_angle_gamma 107.29
_symmetry_space_group_name_H-M 'P -1'
_symmetry_Int_Tables_number 2
loop_
_symmetry_equiv_pos_as_xyz
'x,y,z'
'-x,-y,-z'
loop_
_atom_site_label
_atom_site_fract_x
_atom_site_fract_y
_atom_site_fract_z
Ho1 0.000 0.000 0.000
Ho2 0.231 0.462 0.774
Se1 0.116 0.231 0.375
O1 0.364 0.728 0.064

=====

2.
# HoSeO, optimized geometry, DFT GGA-PBE
# **V**: 113.10 Å³ per cell
data_HoSeO
_cell_length_a 3.772
_cell_length_b 4.772
_cell_length_c 6.794
_cell_angle_alpha 70.61
_cell_angle_beta 79.07
_cell_angle_gamma 89.12
_symmetry_space_group_name_H-M 'P -1'
_symmetry_Int_Tables_number 2
loop_
_symmetry_equiv_pos_as_xyz
'x,y,z'
'-x,-y,-z'
loop_
_atom_site_label
_atom_site_fract_x
_atom_site_fract_y
_atom_site_fract_z
Ho1 0.206 0.179 0.148
Se1 0.406 0.731 0.519
O1 0.239 0.741 0.033

=====

3.
# Ho4Se3O2, optimized geometry, DFT GGA-PBE
# **V**: 363.59 Å³ per cell
data_Ho4Se3O2
_cell_length_a 12.665
_cell_length_b 3.558
_cell_length_c 8.225
_cell_angle_alpha 90.00
_cell_angle_beta 101.21
_cell_angle_gamma 90.00
_symmetry_space_group_name_H-M 'C 1 2/m 1'
_symmetry_Int_Tables_number 12
loop_
_symmetry_equiv_pos_as_xyz
'x,y,z'
'-x,-y,-z'
'-x,y,-z'
'x,-y,z'
'x+1/2,y+1/2,z'
'-x+1/2,-y+1/2,-z'
'-x+1/2,y+1/2,-z'
'x+1/2,-y+1/2,z'
loop_
_atom_site_label
_atom_site_fract_x
_atom_site_fract_y
_atom_site_fract_z
Ho1 0.081 0.000 0.189
Ho2 0.172 0.500 0.605
Se1 0.000 0.000 0.500
Se2 0.107 0.500 0.915
O1 0.202 0.500 0.333

=====

Summary of N(E_F) in states/eV/f.u.
1.57; 0.15; 2.66
(order as listed above)
Summary of spin magnetization in μB/cell
0.00; 0.00; 0.00
(order as listed above)
Summary of E in eV per cell
-47.496; -40.647; -117.376
(order as listed above)